No. 1
Compound: BeAgPO4
Source: Alexandria
Functional: PBE
Structure: optimized geometry

abc: 4.992 4.992 4.992
angles: 121.60 121.60 87.26
Fractional positions:
Be  0.000  0.000  0.000
Ag  0.500  0.500  0.000
P  0.750  0.250  0.500
O  0.388  0.234  0.365
O  0.766  0.131  0.153
O  0.869  0.023  0.635
O  0.977  0.612  0.847

Energy above the most stable polymorph in this dataset = 20 meV/atom
Energy relative to the elements, uncorrected = -1.959 eV per atom
Space-group type = I-4 (82)
Density of states at the Fermi level = 0.000 states/eV/atom

***

No. 2
Compound: BeAgP2O6
Source: Alexandria
Functional: PBE
Structure: optimized geometry

abc: 7.223 7.223 5.915
angles: 113.18 113.18 87.39
Fractional positions:
Be  0.244  0.756  0.750
Be  0.756  0.244  0.250
Ag  0.273  0.727  0.250
Ag  0.727  0.273  0.750
P  0.179  0.320  0.639
P  0.320  0.179  0.139
P  0.680  0.821  0.861
P  0.821  0.680  0.361
O  0.051  0.748  0.481
O  0.217  0.293  0.339
O  0.230  0.553  0.805
O  0.252  0.949  0.019
O  0.293  0.217  0.839
O  0.447  0.770  0.695
O  0.553  0.230  0.305
O  0.707  0.783  0.161
O  0.748  0.051  0.981
O  0.770  0.447  0.195
O  0.783  0.707  0.661
O  0.949  0.252  0.519

Energy relative to the elements, uncorrected = -1.727 eV per atom
Space-group type = C2/c (15)
Density of states at the Fermi level = 0.156 states/eV/atom

***

The highest density of states at the Fermi level belongs to which entry?
BeAgP2O6

***

The lowest energy relative to the elements, uncorrected belongs to which entry?
BeAgPO4

***

Number 1 is which compound?
BeAgPO4

***

Please write out number 1 again, unchanged.
Compound: BeAgPO4
Source: Alexandria
Functional: PBE
Structure: optimized geometry

abc: 4.992 4.992 4.992
angles: 121.60 121.60 87.26
Fractional positions:
Be  0.000  0.000  0.000
Ag  0.500  0.500  0.000
P  0.750  0.250  0.500
O  0.388  0.234  0.365
O  0.766  0.131  0.153
O  0.869  0.023  0.635
O  0.977  0.612  0.847

Energy above the most stable polymorph in this dataset = 20 meV/atom
Energy relative to the elements, uncorrected = -1.959 eV per atom
Space-group type = I-4 (82)
Density of states at the Fermi level = 0.000 states/eV/atom